[1]
DFT (PBE-GGA) results for a relaxed Sr3PaCu2S6 crystal.

```
Sr3PaCu2S6
1.0
-2.295 -6.760 -1.087
4.081 1.546 5.754
-6.179 1.456 3.990
Sr Pa Cu S
3 1 2 6
direct
0.333 0.667 0.603 Sr
0.667 0.333 0.397 Sr
0.000 0.000 0.000 Sr
0.000 0.000 0.500 Pa
0.667 0.333 0.818 Cu
0.333 0.667 0.182 Cu
0.664 0.832 0.288 S
0.168 0.336 0.288 S
0.168 0.832 0.288 S
0.832 0.664 0.712 S
0.336 0.168 0.712 S
0.832 0.168 0.712 S
```

## Properties
* E_form (uncorrected): -1.27 eV per atom
* space-group type: No. 164
* crystal system: trigonal

***

[2]
DFT (PBE-GGA) results for a relaxed Ti2TcGe2 crystal.

```
Ti2TcGe2
1.0
-5.835 2.896 -0.818
0.148 -1.506 -6.388
-1.650 -3.127 0.699
Ge Tc Ti
4 2 4
direct
0.364 0.864 0.000 Ge
0.864 0.636 0.000 Ge
0.636 0.136 0.000 Ge
0.136 0.364 0.000 Ge
0.000 0.000 0.000 Tc
0.500 0.500 0.000 Tc
0.167 0.667 0.500 Ti
0.667 0.833 0.500 Ti
0.833 0.333 0.500 Ti
0.333 0.167 0.500 Ti
```

## Properties
* formation energy from the elements: -2.8 eV per formula unit
* space-group type: No. 127
* crystal system: tetragonal